[1]
InTc2Sb | Alexandria | SCAN | single point on PBEsol structure; magnetic moment = 0.000 μB/f.u.; space group = Pmm2; offset from the most stable computed form = 0.36 eV/f.u.; calculated total energy = -34.814 eV/atom; formation energy (no corrections) = 378 meV per atom
1.0
3.093 0.000 0.000
0.000 4.822 0.000
0.000 0.000 4.605
In Tc Sb
1 2 1
direct
0.000 0.000 0.000 In
0.000 0.500 0.304 Tc
0.500 0.000 0.491 Tc
0.500 0.500 0.789 Sb

***

[2]
InAg2Pt2 | Alexandria | SCAN | single point on PBEsol structure; magnetic moment = 0.000 μB/f.u.; space group = I4/mmm; offset from the most stable computed form = 0.62 eV/f.u.; calculated total energy = -47.111 eV/atom; ΔH_f (0 K) = 0.190 eV/atom
1.0
-1.859 1.859 6.747
1.859 -1.859 6.747
1.859 1.859 -6.747
In Ag Pt
1 2 2
direct
0.000 0.000 0.000 In
0.401 0.401 0.000 Ag
0.599 0.599 0.000 Ag
0.250 0.750 0.500 Pt
0.750 0.250 0.500 Pt

***

[3]
LaSc2Au2 | Alexandria | SCAN | single point on PBEsol structure; magnetic moment = 0.872 μB/f.u.; space group = I4/mmm; calculated total energy = -42.624 eV/atom; ΔH_f (0 K) = -0.646 eV/atom
1.0
-2.500 2.500 4.989
2.500 -2.500 4.989
2.500 2.500 -4.989
La Sc Au
1 2 2
direct
0.000 0.000 0.000 La
0.347 0.347 0.000 Sc
0.653 0.653 0.000 Sc
0.250 0.750 0.500 Au
0.750 0.250 0.500 Au

***

[4]
TcRuN2 | Alexandria | SCAN | single point on PBEsol structure; magnetic moment = 0.000 μB/f.u.; space group = Fm-3m; calculated total energy = -21.202 eV/atom; formation energy (no corrections) = 915 meV per atom
1.0
0.000 2.641 2.641
2.641 0.000 2.641
2.641 2.641 0.000
Tc Ru N
1 1 2
direct
0.000 0.000 0.000 Tc
0.500 0.500 0.500 Ru
0.250 0.250 0.250 N
0.750 0.750 0.750 N

***

[5]
CdCo4Pt | Alexandria | SCAN | single point on PBEsol structure; magnetic moment = 7.858 μB/f.u.; space group = F-43m; calculated total energy = -28.213 eV/atom; ΔH_f (0 K) = 0.091 eV/atom
1.0
0.000 3.356 3.356
3.356 0.000 3.356
3.356 3.356 0.000
Cd Co Pt
1 4 1
direct
0.000 0.000 0.000 Cd
0.126 0.625 0.625 Co
0.625 0.126 0.625 Co
0.625 0.625 0.126 Co
0.625 0.625 0.625 Co
0.250 0.250 0.250 Pt

***

[6]
TaTlO3 | Alexandria | SCAN | single point on PBEsol structure; magnetic moment = 0.000 μB/f.u.; space group = Pm-3m; calculated total energy = -33.867 eV/atom; formation energy (no corrections) = -2340 meV per atom
1.0
4.036 0.000 0.000
0.000 4.036 0.000
0.000 0.000 4.036
Ta Tl O
1 1 3
direct
0.000 0.000 0.000 Ta
0.500 0.500 0.500 Tl
0.000 0.000 0.500 O
0.000 0.500 0.000 O
0.500 0.000 0.000 O

***

[7]
TaBeAsBr2 | Alexandria | SCAN | single point on PBEsol structure; magnetic moment = 0.000 μB/f.u.; space group = P4/mmm; calculated total energy = -25.426 eV/atom; formation energy (no corrections) = 583 meV per atom
1.0
5.036 0.000 0.000
0.000 5.036 0.000
0.000 0.000 5.046
Ta Be As Br
1 1 1 2
direct
0.000 0.000 0.000 Ta
0.500 0.500 0.500 Be
0.000 0.000 0.500 As
0.000 0.500 0.000 Br
0.500 0.000 0.000 Br

***

[8]
KErMo2O8 | Alexandria | SCAN | single point on PBEsol structure; magnetic moment = 0.000 μB/f.u.; space group = C2/c; calculated total energy = -17.510 eV/atom; formation energy (no corrections) = -2653 meV per atom
1.0
5.255 -5.088 0.000
5.255 5.088 0.000
-5.002 0.000 5.721
K Er Mo O
2 2 4 16
direct
0.198 0.802 0.750 K
0.802 0.198 0.250 K
0.231 0.769 0.250 Er
0.769 0.231 0.750 Er
0.300 0.305 0.758 Mo
0.305 0.300 0.258 Mo
0.695 0.700 0.742 Mo
0.700 0.695 0.242 Mo
0.045 0.203 0.691 O
0.070 0.387 0.121 O
0.203 0.045 0.191 O
0.226 0.389 0.557 O
0.366 0.584 0.030 O
0.387 0.070 0.621 O
0.389 0.226 0.057 O
0.416 0.634 0.470 O
0.584 0.366 0.530 O
0.611 0.774 0.943 O
0.613 0.930 0.379 O
0.634 0.416 0.970 O
0.774 0.611 0.443 O
0.797 0.955 0.809 O
0.930 0.613 0.879 O
0.955 0.797 0.309 O

***

[9]
LaZn4Cl | Alexandria | SCAN | single point on PBEsol structure; magnetic moment = 0.000 μB/f.u.; space group = F-43m; calculated total energy = -17.741 eV/atom; formation energy (no corrections) = -217 meV per atom
1.0
0.000 3.887 3.887
3.887 0.000 3.887
3.887 3.887 0.000
La Zn Cl
1 4 1
direct
0.000 0.000 0.000 La
0.126 0.625 0.625 Zn
0.625 0.126 0.625 Zn
0.625 0.625 0.126 Zn
0.625 0.625 0.625 Zn
0.250 0.250 0.250 Cl

***

[10]
LaMoP2 | Alexandria | SCAN | single point on PBEsol structure; magnetic moment = 0.000 μB/f.u.; space group = R3m; offset from the most stable computed form = 4.54 eV/f.u.; calculated total energy = -24.429 eV/atom; ΔH_f (0 K) = 0.268 eV/atom
1.0
1.549 0.894 8.567
-1.549 0.894 8.567
0.000 -1.789 8.567
La Mo P
1 1 2
direct
0.000 0.000 0.000 La
0.225 0.225 0.225 Mo
0.495 0.495 0.495 P
0.762 0.762 0.762 P

***

[11]
HgAs2Ir | Alexandria | SCAN | single point on PBEsol structure; magnetic moment = 0.000 μB/f.u.; space group = P4/mmm; calculated total energy = -44.833 eV/atom; ΔH_f (0 K) = 0.079 eV/atom
1.0
2.969 0.000 0.000
0.000 2.969 0.000
0.000 0.000 8.533
Hg As Ir
1 2 1
direct
0.000 0.000 0.000 Hg
0.500 0.500 0.310 As
0.500 0.500 0.690 As
0.000 0.000 0.500 Ir

***

[12]
TlCdPb | Alexandria | SCAN | single point on PBEsol structure; magnetic moment = 0.000 μB/f.u.; space group = P3m1; offset from the most stable computed form = 0.07 eV/f.u.; calculated total energy = -59.452 eV/atom; ΔH_f (0 K) = 0.066 eV/atom
1.0
5.255 0.000 0.000
-2.627 4.551 0.000
0.000 0.000 3.366
Tl Cd Pb
1 1 1
direct
0.000 0.000 0.000 Tl
0.667 0.333 0.277 Cd
0.333 0.667 0.551 Pb

***

[13]
Sn3POs | Alexandria | SCAN | single point on PBEsol structure; magnetic moment = 0.004 μB/f.u.; space group = Pm-3m; calculated total energy = -37.520 eV/atom; ΔH_f (0 K) = 0.489 eV/atom
1.0
5.037 0.000 0.000
0.000 5.037 0.000
0.000 0.000 5.037
Sn P Os
3 1 1
direct
0.000 0.000 0.500 Sn
0.000 0.500 0.000 Sn
0.500 0.000 0.000 Sn
0.500 0.500 0.500 P
0.000 0.000 0.000 Os

***

[14]
TaFe2SiTe | Alexandria | SCAN | single point on PBEsol structure; magnetic moment = 3.796 μB/f.u.; space group = P4/mmm; calculated total energy = -29.337 eV/atom; formation energy (no corrections) = 685 meV per atom
1.0
4.229 0.000 0.000
0.000 4.229 0.000
0.000 0.000 4.747
Ta Fe Si Te
1 2 1 1
direct
0.000 0.000 0.000 Ta
0.000 0.500 0.500 Fe
0.500 0.000 0.500 Fe
0.000 0.000 0.500 Si
0.500 0.500 0.000 Te

***

[15]
CaAlCr | Alexandria | SCAN | single point on PBEsol structure; magnetic moment = 0.001 μB/f.u.; space group = I4mm; calculated total energy = -11.398 eV/atom; ΔH_f (0 K) = 0.535 eV/atom
1.0
-1.390 1.390 6.789
1.390 -1.390 6.789
1.390 1.390 -6.789
Ca Al Cr
1 1 1
direct
0.000 0.000 0.000 Ca
0.689 0.689 0.000 Al
0.320 0.320 0.000 Cr

***

[16]
Mg | Alexandria | SCAN | single point on PBEsol structure; magnetic moment = 0.000 μB/f.u.; space group = Fd-3m; offset from the most stable computed form = 0.07 eV/f.u.; calculated total energy = -4.900 eV/atom; ΔH_f (0 K) = 0.074 eV/atom
1.0
0.000 4.122 4.122
4.122 0.000 4.122
4.122 4.122 0.000
Mg
6
direct
0.000 0.000 0.000 Mg
0.000 0.000 0.500 Mg
0.000 0.500 0.000 Mg
0.375 0.375 0.375 Mg
0.500 0.000 0.000 Mg
0.625 0.625 0.625 Mg

***

[17]
TcAs2Ru | Alexandria | SCAN | single point on PBEsol structure; magnetic moment = 0.000 μB/f.u.; space group = R3m; calculated total energy = -27.561 eV/atom; ΔH_f (0 K) = 0.006 eV/atom
1.0
1.428 0.824 9.623
-1.428 0.824 9.623
0.000 -1.649 9.623
Tc As Ru
1 2 1
direct
0.000 0.000 0.000 Tc
0.267 0.267 0.267 As
0.473 0.473 0.473 As
0.741 0.741 0.741 Ru

***

[18]
LiMg2NiCl | Alexandria | SCAN | single point on PBEsol structure; magnetic moment = 0.762 μB/f.u.; space group = P4/mmm; calculated total energy = -6.876 eV/atom; formation energy (no corrections) = 422 meV per atom
1.0
5.136 0.000 0.000
0.000 5.136 0.000
0.000 0.000 3.943
Li Mg Ni Cl
1 2 1 1
direct
0.000 0.000 0.000 Li
0.000 0.500 0.000 Mg
0.500 0.000 0.000 Mg
0.500 0.500 0.500 Ni
0.000 0.000 0.500 Cl

***

[19]
PbCl2 | Alexandria | SCAN | single point on PBEsol structure; magnetic moment = 0.000 μB/f.u.; space group = Cmcm; calculated total energy = -31.725 eV/atom; formation energy (no corrections) = -1146 meV per atom
1.0
2.101 -8.861 0.000
2.101 8.861 0.000
0.000 0.000 5.665
Pb Cl
2 4
direct
0.168 0.832 0.750 Pb
0.832 0.168 0.250 Pb
0.205 0.795 0.250 Cl
0.430 0.570 0.250 Cl
0.570 0.430 0.750 Cl
0.795 0.205 0.750 Cl

***

[20]
ZnCd2Te | Alexandria | SCAN | single point on PBEsol structure; magnetic moment = 0.000 μB/f.u.; space group = P4/mmm; offset from the most stable computed form = 0.00 eV/f.u.; calculated total energy = -27.758 eV/atom; formation energy (no corrections) = 140 meV per atom
1.0
3.116 0.000 0.000
0.000 3.116 0.000
0.000 0.000 9.080
Zn Cd Te
1 2 1
direct
0.000 0.000 0.000 Zn
0.500 0.500 0.201 Cd
0.500 0.500 0.799 Cd
0.000 0.000 0.500 Te